First-principles (PBE) data for ReCl5 after structural relaxation, as listed in Alexandria.

Computed properties:
DOS(E_F) ... 2.67 states/eV/cell
Energy above the most stable polymorph in this dataset ... 0.365 eV/atom
Size of the total moment ... 0.75 μB per cell

a b c (Å): 7.5048 7.5048 9.2824
angles (deg): 66.64 66.64 23.12
Each line ends with the local moment (μB).
Positions (direct):
1 Cl 0.0372 0.0372 0.8454  0.01
2 Cl 0.1086 0.1086 0.5040  0.02
3 Cl 0.7251 0.7251 0.8539  0.02
4 Cl 0.3009 0.3009 0.5233  0.01
5 Cl 0.3324 0.3324 0.1054  0.12
6 Re 0.6625 0.6625 0.6678  0.46